A relaxed CoCu5 crystal. Source: the Alexandria database, functional GGA-PBEsol.

Cell lengths 2.4564, 4.1306, 6.6864 Å; angles 90.00, 100.58, 90.00 degrees
With the nearest neighbours (Å) after each atom.
Positions (direct):
Cu (0.2238, 0.5000, 0.4477)  12 Cu 2.46-2.53
Cu (0.6641, 0.0000, 0.3282)  10 Cu 2.46-2.53, 2 Co 2.49
Cu (0.5558, 0.5000, 0.1117)  8 Cu 2.46-2.53, 4 Co 2.52
Cu (0.8911, 0.5000, 0.7822)  10 Cu 2.46-2.52, 2 Co 2.51
Cu (0.3328, 0.0000, 0.6655)  10 Cu 2.46-2.53, 2 Co 2.51
Co (0.9991, 0.0000, 0.9981)  2 Co 2.46, 10 Cu 2.49-2.52

Values from the calculation:
Electronic total energy: -4.805 eV per atom
Formation enthalpy at 0 K: 9.3 kJ/mol of atoms